1.
DFT (GGA-PBE) results for a relaxed structure of Nd2HoTh3Bi6.

Summary:
**SG**: C2/m
**Density of states at the Fermi level**: 0.551 states/eV/atom
**Final energy**: -68.552 eV/f.u.
**Energy of formation**: -8.9 eV/f.u.

Lattice parameters (Å, degrees): 4.5835 9.1407 10.2416 102.81 102.93 90.00
Last column: nearest neighbours and their distance in Å.
Fractional coordinates of all 12 atoms:
Nd1 0.8334 0.6665 0.6668  6 Bi 3.24-3.26
Nd2 0.1666 0.3335 0.3332  6 Bi 3.24-3.26
Ho1 0.5000 0.0000 0.0000  6 Bi 3.17-3.19
Th1 0.5000 0.5000 0.0000  6 Bi 3.24-3.28
Th2 0.8313 0.1661 0.6627  6 Bi 3.23-3.27
Th3 0.1687 0.8339 0.3373  6 Bi 3.23-3.27
Bi1 0.3368 0.9187 0.6736  1 Ho 3.17, 3 Th 3.24-3.27, 2 Nd 3.24
Bi2 0.6665 0.5832 0.3329  3 Th 3.23-3.24, 3 Nd 3.24-3.25
Bi3 0.6632 0.0813 0.3264  1 Ho 3.17, 3 Th 3.24-3.27, 2 Nd 3.24
Bi4 0.9990 0.2428 0.9980  2 Ho 3.19, 1 Nd 3.26, 3 Th 3.26-3.28
Bi5 0.0010 0.7572 0.0020  2 Ho 3.19, 1 Nd 3.26, 3 Th 3.26-3.28
Bi6 0.3335 0.4168 0.6671  3 Th 3.23-3.24, 3 Nd 3.24-3.25

---

2.
DFT (GGA-PBE) results for a relaxed structure of GaSnI2Br.

Summary:
**SG**: Cmcm
**Density of states at the Fermi level**: 0.000 states/eV/atom
**Final energy**: -14.296 eV/f.u.

Lattice parameters (Å, degrees): 4.5355 7.7702 10.9827 90.00 90.00 106.97
Last column: nearest neighbours and their distance in Å.
Fractional coordinates of all 10 atoms:
Ga1 0.2729 0.5458 0.7500  2 Br 3.10
Ga2 0.7271 0.4542 0.2500  2 Br 3.10
Sn1 0.0000 0.0000 0.5000  2 Br 3.02, 4 I 3.19
Sn2 0.0000 0.0000 0.0000  2 Br 3.02, 4 I 3.19
I1 0.6446 0.2892 0.5606  2 Sn 3.19
I2 0.3554 0.7108 0.4394  2 Sn 3.19
I3 0.3554 0.7108 0.0606  2 Sn 3.19
I4 0.6446 0.2892 0.9394  2 Sn 3.19
Br1 0.9155 0.8310 0.7500  2 Sn 3.02, 2 Ga 3.10
Br2 0.0845 0.1690 0.2500  2 Sn 3.02, 2 Ga 3.10

---

Q: Which formula does entry 2 have?
A: GaSnI2Br

---

Q: Look up the final energy of the second one.
A: -14.296 eV/f.u.

---

Q: Which formula does entry 1 have?
A: Nd2HoTh3Bi6

---

Please write out number 1 again, unchanged.
DFT (GGA-PBE) results for a relaxed structure of Nd2HoTh3Bi6.

Summary:
**SG**: C2/m
**Density of states at the Fermi level**: 0.551 states/eV/atom
**Final energy**: -68.552 eV/f.u.
**Energy of formation**: -8.9 eV/f.u.

Lattice parameters (Å, degrees): 4.5835 9.1407 10.2416 102.81 102.93 90.00
Last column: nearest neighbours and their distance in Å.
Fractional coordinates of all 12 atoms:
Nd1 0.8334 0.6665 0.6668  6 Bi 3.24-3.26
Nd2 0.1666 0.3335 0.3332  6 Bi 3.24-3.26
Ho1 0.5000 0.0000 0.0000  6 Bi 3.17-3.19
Th1 0.5000 0.5000 0.0000  6 Bi 3.24-3.28
Th2 0.8313 0.1661 0.6627  6 Bi 3.23-3.27
Th3 0.1687 0.8339 0.3373  6 Bi 3.23-3.27
Bi1 0.3368 0.9187 0.6736  1 Ho 3.17, 3 Th 3.24-3.27, 2 Nd 3.24
Bi2 0.6665 0.5832 0.3329  3 Th 3.23-3.24, 3 Nd 3.24-3.25
Bi3 0.6632 0.0813 0.3264  1 Ho 3.17, 3 Th 3.24-3.27, 2 Nd 3.24
Bi4 0.9990 0.2428 0.9980  2 Ho 3.19, 1 Nd 3.26, 3 Th 3.26-3.28
Bi5 0.0010 0.7572 0.0020  2 Ho 3.19, 1 Nd 3.26, 3 Th 3.26-3.28
Bi6 0.3335 0.4168 0.6671  3 Th 3.23-3.24, 3 Nd 3.24-3.25